A plane-wave DFT calculation with GGA+U was carried out for a geometry-optimized V2SnHgF structure. Values from VASP.

Properties
E_tot in eV per atom: -4.21
Symmetry: P4/mmm, No. 123

Cell and atoms, written as Quantum ESPRESSO input:
```
&SYSTEM
  ibrav = 0, nat = 5, ntyp = 4
/
ATOMIC_SPECIES
F 19.00 F.upf
V 50.94 V.upf
Hg 200.59 Hg.upf
Sn 118.71 Sn.upf
CELL_PARAMETERS angstrom
-1.084 4.236 0.215
-4.742 -1.320 2.097
1.713 0.234 4.021
ATOMIC_POSITIONS crystal
F 0.000 0.000 0.000
V 0.000 0.000 0.500
V 0.500 0.000 0.000
Hg 0.000 0.500 0.000
Sn 0.500 0.500 0.500
```